# CdCu2Mo

Crystalline CdCu2Mo at its relaxed geometry (GGA-PBE, Alexandria via LeMat-Bulk).

Structure (POSCAR):
```
CdCu2Mo
1.0
5.497 0.000 -0.002
2.830 4.713 0.002
-3.484 -3.559 2.329
Cu Mo Cd
2 1 1
direct
0.764 0.264 0.500
0.985 0.985 0.000
0.514 0.514 0.000
0.237 0.737 0.500
```

The calculation puts the magnetic moment at 0.0 μB per cell. As for the symmetry: Imm2. The value obtained for the formation energy is 360.7 meV per atom.